Entry 1:
DFT (GGA-PBE) results for crystalline BTePd3 at its relaxed geometry.

## Properties
For the uncorrected formation energy, the calculation gives -67 kJ/mol of formula units. For the energy above the most stable polymorph in this dataset, the calculation gives 0 meV per atom. The raw total energy is -5.22 eV per atom. For the total moment, the calculation gives 0.00 μB/cell.

Cell: 4.3022 4.3022 4.3022 Å, 90.00 90.00 90.00°
Space group Pm-3m (No. 221)
Unique sites:
B: 0.0000 0.0000 0.0000 [1 per cell]
Te: 0.5000 0.5000 0.5000 [1 per cell]
Pd: 0.0000 0.0000 0.5000 [3 per cell]

---

Entry 2:
DFT (GGA-PBE) results for crystalline B2TePd6 at its relaxed geometry.

## Properties
For the uncorrected formation energy, the calculation gives -111 kJ/mol of formula units. The raw total energy is -5.42 eV per atom. For the total moment, the calculation gives 0.00 μB/cell.

Cell: 11.2128 3.8967 7.8454 Å, 90.00 120.91 90.00°
Space group C2/m (No. 12)
Unique sites:
B: 0.1687 0.0000 0.1016 [4 per cell]
Te: 0.0000 0.0000 0.5000 [2 per cell]
Pd: 0.0153 0.0000 0.1803 [4 per cell]
Pd: 0.1957 0.5000 0.5792 [4 per cell]
Pd: 0.2463 0.5000 0.1220 [4 per cell]

---

Entry 3:
DFT (GGA-PBE) results for crystalline B2Te2Pd at its relaxed geometry.

## Properties
For the uncorrected formation energy, the calculation gives 473 kJ/mol of formula units. For the energy above the most stable polymorph in this dataset, the calculation gives 307 meV per atom. The raw total energy is -3.99 eV per atom. For the total moment, the calculation gives 0.00 μB/cell.

Cell: 7.0447 7.0447 3.5377 Å, 90.00 90.00 90.00°
Space group P4/mbm (No. 127)
Unique sites:
B: 0.1975 0.3025 0.0000 [4 per cell]
Te: 0.1663 0.6663 0.5000 [4 per cell]
Pd: 0.0000 0.0000 0.0000 [2 per cell]

---

Entry 4:
DFT (GGA-PBE) results for crystalline BTe4Pd at its relaxed geometry.

## Properties
For the uncorrected formation energy, the calculation gives 180 kJ/mol of formula units. The raw total energy is -3.76 eV per atom. For the total moment, the calculation gives 0.00 μB/cell.

Cell: 8.9588 8.9588 7.7452 Å, 90.00 90.00 90.00°
Space group I4_1md (No. 109)
Unique sites:
B: 0.0000 0.0000 0.0000 [4 per cell]
Te: 0.0000 0.3189 0.4826 [8 per cell]
Te: 0.0000 0.3195 0.0298 [8 per cell]
Pd: 0.0000 0.0000 0.5082 [4 per cell]

---

Question: Among the records above, which one has the highest raw total energy?
Answer: BTe4Pd

---

Question: Number 1 is which compound?
Answer: BTePd3